Entry 1:
# NaAcNp PBE relaxed
data_NaAcNp
_cell_length_a 7.8534
_cell_length_b 7.8534
_cell_length_c 7.8534
_cell_angle_alpha 90.00
_cell_angle_beta 90.00
_cell_angle_gamma 90.00
_symmetry_space_group_name_H-M 'F -4 3 m'
_symmetry_Int_Tables_number 216
_symmetry_space_group_name_Hall 'F -4 2 3'
loop_
_atom_site_label
_atom_site_fract_x
_atom_site_fract_y
_atom_site_fract_z
Na1 0.0000 0.0000 0.0000
Ac1 0.2500 0.2500 0.7500
Np1 0.2500 0.2500 0.2500
# Energy relative to the lowest polymorph listed for this composition = 0.000 eV per atom
# E_tot = -4.83 eV per atom
# Spin magnetization = 6.5 μB/f.u.

Entry 2:
# NaAcNp PBE relaxed
data_NaAcNp
_cell_length_a 7.6868
_cell_length_b 7.6868
_cell_length_c 7.6868
_cell_angle_alpha 90.00
_cell_angle_beta 90.00
_cell_angle_gamma 90.00
_symmetry_space_group_name_H-M 'F -4 3 m'
_symmetry_Int_Tables_number 216
_symmetry_space_group_name_Hall 'F -4 2 3'
loop_
_atom_site_label
_atom_site_fract_x
_atom_site_fract_y
_atom_site_fract_z
Na1 0.0000 0.0000 0.0000
Ac1 0.2500 0.2500 0.2500
Np1 0.0000 0.0000 0.5000
# Energy relative to the lowest polymorph listed for this composition = 0.158 eV per atom
# E_tot = -4.67 eV per atom
# Spin magnetization = 5.4 μB/f.u.

Entry 3:
# NaAc2ReO6 PBE relaxed
data_NaAc2ReO6
_cell_length_a 5.6965
_cell_length_b 5.7381
_cell_length_c 5.8193
_cell_angle_alpha 61.59
_cell_angle_beta 60.89
_cell_angle_gamma 60.43
_symmetry_space_group_name_H-M 'P -1'
_symmetry_Int_Tables_number 2
loop_
_symmetry_equiv_pos_as_xyz
'x,y,z'
'-x,-y,-z'
loop_
_atom_site_label
_atom_site_fract_x
_atom_site_fract_y
_atom_site_fract_z
Na1 0.0000 0.0000 0.0000
Ac1 0.2493 0.2409 0.2615
Re1 0.5000 0.5000 0.5000
O1 0.2038 0.7859 0.3245
O2 0.2722 0.6356 0.8241
O3 0.3169 0.2107 0.6797
# E_tot = -7.66 eV per atom
# Spin magnetization = 2.0 μB/f.u.